VASP calculation (PBE-GGA) on Sm8DySc2 after structural relaxation.

Computed properties:
* crystal system: orthorhombic
* energy relative to the lowest polymorph listed for this composition: 0 meV/atom

Unit cell a=5.4766 b=8.3396 c=9.2613 alpha=116.76 beta=107.20 gamma=90.00
Last column: nearest neighbours and their distance in Å.
Fractional positions:
Sm (0.6427, 0.8457, 0.2855)  1 Dy 3.33, 3 Sc 3.35-3.48, 6 Sm 3.38-3.70
Sm (0.3573, 0.5602, 0.7145)  1 Dy 3.33, 3 Sc 3.35-3.48, 6 Sm 3.38-3.70
Sm (0.1614, 0.1614, 0.3227)  2 Sc 3.48, 8 Sm 3.49-3.70, 2 Dy 3.72
Sm (0.0000, 0.3009, 0.0000)  7 Sm 3.32-3.56, 2 Sc 3.55, 2 Dy 3.71
Sm (0.8386, 0.8386, 0.6773)  2 Sc 3.48, 8 Sm 3.49-3.70, 2 Dy 3.72
Sm (0.6427, 0.4398, 0.2855)  1 Dy 3.33, 3 Sc 3.35-3.48, 6 Sm 3.38-3.70
Sm (0.3573, 0.1543, 0.7145)  1 Dy 3.33, 3 Sc 3.35-3.48, 6 Sm 3.38-3.70
Sm (0.0000, 0.6991, 0.0000)  7 Sm 3.32-3.56, 2 Sc 3.55, 2 Dy 3.71
Dy (0.5000, 0.0000, 0.0000)  12 Sm 3.33-3.72
Sc (0.2011, 0.7011, 0.4021)  10 Sm 3.35-3.55
Sc (0.7989, 0.2989, 0.5979)  10 Sm 3.35-3.55

VASP calculation (PBE-GGA) on Sm4Dy3Sc4 after structural relaxation.

Computed properties:
* crystal system: triclinic

Unit cell a=3.4227 b=5.4870 c=17.5817 alpha=81.04 beta=84.41 gamma=90.00
Last column: nearest neighbours and their distance in Å.
Fractional positions:
Sm (0.5914, 0.0911, 0.8184)  3 Sc 3.11-3.18, 2 Sm 3.42
Sm (0.2686, 0.2684, 0.4631)  4 Sc 3.25-3.48, 6 Sm 3.42-3.48
Sm (0.7314, 0.7316, 0.5369)  4 Sc 3.25-3.48, 6 Sm 3.42-3.48
Sm (0.4086, 0.9089, 0.1816)  3 Sc 3.12-3.18, 2 Sm 3.42
Dy (0.1368, 0.6360, 0.7284)  2 Dy 3.42, 6 Sm 3.59-3.73, 6 Sc 3.59-3.60
Dy (0.8633, 0.3640, 0.2716)  2 Dy 3.42, 6 Sm 3.59-3.73, 6 Sc 3.59-3.60
Dy (0.0000, 0.0000, 0.0000)  2 Dy 3.42, 8 Sc 3.57-3.58, 4 Sm 3.57-3.58
Sc (0.5451, 0.5445, 0.9117)  1 Sc 3.05, 2 Sm 3.18
Sc (0.4549, 0.4555, 0.0883)  1 Sc 3.05, 2 Sm 3.18
Sc (0.3180, 0.8190, 0.3618)  5 Sm 3.12-3.48, 2 Sc 3.42
Sc (0.6821, 0.1810, 0.6382)  5 Sm 3.11-3.48, 2 Sc 3.42

no.,magnetization (μB per cell),total DFT energy (no corrections) (eV per atom),formation enthalpy at 0 K (eV per atom)
1,0.00,-4.88,0.125
2,0.00,-5.19,0.079